w:
First-principles (SCAN) data for LiPd3Pb at its PBEsol-relaxed geometry, as listed in the Alexandria database.

## Properties
crystal system = cubic
total magnetic moment = 0.00 μB per cell

The structure in POSCAR format:
```
LiPd3Pb
1.0
5.0285 0.0000 0.0000
0.0000 5.0285 0.0000
0.0000 0.0000 5.0285
Li Pd Pb
1 3 1
Cartesian
0.0000 0.0000 0.0000
0.0000 2.5142 2.5142
2.5142 0.0000 2.5142
2.5142 2.5142 0.0000
2.5142 2.5142 2.5142
```

x:
First-principles (SCAN) data for LiPd3Pb at its PBEsol-relaxed geometry, as listed in the Alexandria database.

## Properties
crystal system = cubic
total magnetic moment = 0.00 μB per cell

The structure in POSCAR format:
```
LiPd3Pb
1.0
4.3131 0.0000 0.0000
0.0000 4.3131 0.0000
0.0000 0.0000 4.3131
Li Pd Pb
1 3 1
Cartesian
0.0000 0.0000 0.0000
0.0000 0.0000 2.1565
0.0000 2.1565 0.0000
2.1565 0.0000 0.0000
2.1565 2.1565 2.1565
```

It is x that is most stable; the runner-up trails by 477 meV per atom.

w:
First-principles (SCAN) data for LiPtPb2 at its PBEsol-relaxed geometry, as listed in the Alexandria database.

## Properties
crystal system = trigonal
total magnetic moment = 0.00 μB per cell

The structure in POSCAR format:
```
LiPtPb2
1.0
3.5740 0.0000 0.0000
-1.7870 3.0952 0.0000
0.0000 0.0000 24.9942
Li Pt Pb
3 3 6
Cartesian
0.0000 0.0000 0.0000
0.0000 2.0635 16.6628
1.7870 1.0317 8.3314
0.0000 0.0000 12.4971
0.0000 2.0635 4.1657
1.7870 1.0317 20.8285
0.0000 0.0000 6.0378
0.0000 0.0000 18.9564
0.0000 2.0635 10.6250
0.0000 2.0635 22.7007
1.7870 1.0317 2.2936
1.7870 1.0317 14.3693
```

x:
First-principles (SCAN) data for LiPtPb2 at its PBEsol-relaxed geometry, as listed in the Alexandria database.

## Properties
crystal system = tetragonal
total magnetic moment = 0.00 μB per cell

The structure in POSCAR format:
```
LiPtPb2
1.0
3.3462 0.0000 0.0000
0.0000 3.3462 0.0000
0.0000 0.0000 7.4792
Li Pt Pb
1 1 2
Cartesian
0.0000 0.0000 0.0000
1.6731 1.6731 6.3614
0.0000 0.0000 4.5983
1.6731 1.6731 1.7936
```

It is x that is most stable; the runner-up trails by 58 meV per atom.

w:
First-principles (SCAN) data for Li2Sb2Pb at its PBEsol-relaxed geometry, as listed in the Alexandria database.

## Properties
crystal system = tetragonal
total magnetic moment = 0.00 μB per cell

The structure in POSCAR format:
```
Li2Sb2Pb
1.0
8.5159 0.0000 0.0000
0.0000 8.5159 0.0000
0.0000 0.0000 3.1515
Li Sb Pb
4 4 2
Cartesian
0.9944 3.2635 0.0000
3.2635 7.5215 0.0000
5.2524 0.9944 0.0000
7.5215 5.2524 0.0000
1.5367 5.7947 1.5757
2.7212 1.5367 1.5757
5.7947 6.9792 1.5757
6.9792 2.7212 1.5757
0.0000 0.0000 0.0000
4.2579 4.2579 0.0000
```

x:
First-principles (SCAN) data for Li2Sb2Pb at its PBEsol-relaxed geometry, as listed in the Alexandria database.

## Properties
crystal system = tetragonal
total magnetic moment = 0.00 μB per cell

The structure in POSCAR format:
```
Li2Sb2Pb
1.0
4.5548 0.0000 0.0000
0.0000 4.5548 0.0000
0.0000 0.0000 11.5822
Li Sb Pb
4 4 2
Cartesian
0.0000 2.2774 2.8956
0.0000 2.2774 8.6867
2.2774 0.0000 2.8956
2.2774 0.0000 8.6867
0.0000 0.0000 1.3930
0.0000 0.0000 10.1892
2.2774 2.2774 4.3981
2.2774 2.2774 7.1842
0.0000 0.0000 5.7911
2.2774 2.2774 0.0000
```

It is w that is most stable; the runner-up trails by 32 meV per atom.

w:
First-principles (SCAN) data for LiTl2Pb at its PBEsol-relaxed geometry, as listed in the Alexandria database.

## Properties
crystal system = orthorhombic
total magnetic moment = 0.00 μB per cell

The structure in POSCAR format:
```
LiTl2Pb
1.0
6.4494 0.0000 0.0000
0.0000 9.6058 0.0000
0.0000 0.0000 3.3830
Li Tl Pb
2 4 2
Cartesian
0.0000 0.0000 0.0000
3.2247 4.8029 0.0000
1.6124 2.4014 1.6915
1.6124 7.2043 1.6915
4.8371 2.4014 1.6915
4.8371 7.2043 1.6915
0.0000 4.8029 0.0000
3.2247 0.0000 0.0000
```

x:
First-principles (SCAN) data for LiTl2Pb at its PBEsol-relaxed geometry, as listed in the Alexandria database.

## Properties
crystal system = orthorhombic
total magnetic moment = 0.00 μB per cell

The structure in POSCAR format:
```
LiTl2Pb
1.0
3.4633 0.0000 0.0000
0.0000 4.5638 0.0000
0.0000 0.0000 6.5317
Li Tl Pb
1 2 1
Cartesian
0.0000 0.0000 0.0000
0.0000 0.0000 3.2781
1.7317 2.2819 4.9314
1.7317 2.2819 1.5551
```

It is x that is most stable; the runner-up trails by 13 meV per atom.

w:
First-principles (SCAN) data for LiTl2Pb at its PBEsol-relaxed geometry, as listed in the Alexandria database.

## Properties
crystal system = trigonal
total magnetic moment = 0.00 μB per cell

The structure in POSCAR format:
```
LiTl2Pb
1.0
3.4552 0.0000 0.0000
-1.7276 2.9923 0.0000
0.0000 0.0000 29.9172
Li Tl Pb
3 6 3
Cartesian
0.0000 0.0000 0.0000
0.0000 1.9948 19.9448
1.7276 0.9974 9.9724
0.0000 0.0000 7.7596
0.0000 0.0000 15.0162
0.0000 1.9948 5.0438
0.0000 1.9948 27.7044
1.7276 0.9974 17.7320
1.7276 0.9974 24.9886
0.0000 0.0000 22.2685
0.0000 1.9948 12.2961
1.7276 0.9974 2.3236
```

x:
First-principles (SCAN) data for LiTl2Pb at its PBEsol-relaxed geometry, as listed in the Alexandria database.

## Properties
crystal system = trigonal
total magnetic moment = 0.00 μB per cell

The structure in POSCAR format:
```
LiTl2Pb
1.0
3.4607 0.0000 0.0000
-1.7303 2.9970 0.0000
0.0000 0.0000 29.5923
Li Tl Pb
3 6 3
Cartesian
0.0000 0.0000 0.0000
0.0000 1.9980 19.7282
1.7303 0.9990 9.8641
0.0000 0.0000 7.6541
0.0000 0.0000 21.9382
0.0000 1.9980 12.0741
0.0000 1.9980 27.3823
1.7303 0.9990 2.2100
1.7303 0.9990 17.5182
0.0000 0.0000 14.7961
0.0000 1.9980 4.9321
1.7303 0.9990 24.6602
```

y:
First-principles (SCAN) data for LiTl2Pb at its PBEsol-relaxed geometry, as listed in the Alexandria database.

## Properties
crystal system = cubic
total magnetic moment = 0.00 μB per cell

The structure in POSCAR format:
```
LiTl2Pb
1.0
7.4962 0.0000 0.0000
0.0000 7.4962 0.0000
0.0000 0.0000 7.4962
Li Tl Pb
4 8 4
Cartesian
0.0000 0.0000 0.0000
0.0000 3.7481 3.7481
3.7481 0.0000 3.7481
3.7481 3.7481 0.0000
0.0000 0.0000 3.7481
0.0000 3.7481 0.0000
1.8740 1.8740 1.8740
1.8740 5.6221 5.6221
3.7481 0.0000 0.0000
3.7481 3.7481 3.7481
5.6221 1.8740 5.6221
5.6221 5.6221 1.8740
1.8740 1.8740 5.6221
1.8740 5.6221 1.8740
5.6221 1.8740 1.8740
5.6221 5.6221 5.6221
```

z:
First-principles (SCAN) data for LiTl2Pb at its PBEsol-relaxed geometry, as listed in the Alexandria database.

## Properties
crystal system = monoclinic
total magnetic moment = 0.00 μB per cell

The structure in POSCAR format:
```
LiTl2Pb
1.0
11.7268 0.0000 0.0000
0.0000 3.4447 0.0000
-2.5831 0.0000 5.0902
Li Tl Pb
2 4 2
Cartesian
0.0000 0.0000 0.0000
5.8634 1.7224 0.0000
-1.1011 1.7224 2.3570
1.6385 0.0000 3.1622
4.7623 0.0000 2.3570
7.5019 1.7224 3.1622
2.5558 1.7224 0.4143
8.4192 0.0000 0.4143
```

It is z that is most stable; the runner-up trails by 8 meV per atom.

w:
First-principles (SCAN) data for LiTl2Pb at its PBEsol-relaxed geometry, as listed in the Alexandria database.

## Properties
crystal system = orthorhombic
total magnetic moment = 0.00 μB per cell

The structure in POSCAR format:
```
LiTl2Pb
1.0
3.7698 0.0000 0.0000
0.0000 5.3047 0.0000
0.0000 0.0000 10.2635
Li Tl Pb
2 4 2
Cartesian
0.0000 0.0000 0.0000
1.8849 2.6523 5.1318
0.0000 0.0000 5.2075
0.0000 2.6523 2.8294
1.8849 0.0000 7.9612
1.8849 2.6523 0.0757
0.0000 2.6523 7.5636
1.8849 0.0000 2.4318
```

x:
First-principles (SCAN) data for LiTl2Pb at its PBEsol-relaxed geometry, as listed in the Alexandria database.

## Properties
crystal system = cubic
total magnetic moment = 0.00 μB per cell

The structure in POSCAR format:
```
LiTl2Pb
1.0
7.5132 0.0000 0.0000
0.0000 7.5132 0.0000
0.0000 0.0000 7.5132
Li Tl Pb
4 8 4
Cartesian
0.0000 0.0000 0.0000
0.0000 3.7566 3.7566
3.7566 0.0000 3.7566
3.7566 3.7566 0.0000
1.8783 1.8783 1.8783
1.8783 1.8783 5.6349
1.8783 5.6349 1.8783
1.8783 5.6349 5.6349
5.6349 1.8783 1.8783
5.6349 1.8783 5.6349
5.6349 5.6349 1.8783
5.6349 5.6349 5.6349
0.0000 0.0000 3.7566
0.0000 3.7566 0.0000
3.7566 0.0000 0.0000
3.7566 3.7566 3.7566
```

It is w that is most stable; the runner-up trails by 26 meV per atom.

w:
First-principles (SCAN) data for LiTl2Pb at its PBEsol-relaxed geometry, as listed in the Alexandria database.

## Properties
crystal system = tetragonal
total magnetic moment = 0.00 μB per cell

The structure in POSCAR format:
```
LiTl2Pb
1.0
4.6296 0.0000 0.0000
0.0000 4.6296 0.0000
0.0000 0.0000 9.6041
Li Tl Pb
2 4 2
Cartesian
0.0000 0.0000 0.0000
2.3148 2.3148 4.8021
0.0000 0.0000 4.8021
0.0000 2.3148 7.2031
2.3148 0.0000 2.4010
2.3148 2.3148 0.0000
0.0000 2.3148 2.4010
2.3148 0.0000 7.2031
```

x:
First-principles (SCAN) data for LiTl2Pb at its PBEsol-relaxed geometry, as listed in the Alexandria database.

## Properties
crystal system = tetragonal
total magnetic moment = 0.00 μB per cell

The structure in POSCAR format:
```
LiTl2Pb
1.0
3.3621 0.0000 0.0000
0.0000 3.3621 0.0000
0.0000 0.0000 8.8495
Li Tl Pb
1 2 1
Cartesian
0.0000 0.0000 0.0000
0.0000 0.0000 4.5375
1.6811 1.6811 7.0431
1.6811 1.6811 1.9234
```

y:
First-principles (SCAN) data for LiTl2Pb at its PBEsol-relaxed geometry, as listed in the Alexandria database.

## Properties
crystal system = tetragonal
total magnetic moment = 0.00 μB per cell

The structure in POSCAR format:
```
LiTl2Pb
1.0
3.3679 0.0000 0.0000
0.0000 3.3679 0.0000
0.0000 0.0000 8.7621
Li Tl Pb
1 2 1
Cartesian
0.0000 0.0000 0.0000
1.6840 1.6840 1.8765
1.6840 1.6840 6.8856
0.0000 0.0000 4.3810
```

It is x that is most stable; the runner-up trails by 17 meV per atom.

w:
First-principles (SCAN) data for LiTl2Pb at its PBEsol-relaxed geometry, as listed in the Alexandria database.

## Properties
crystal system = orthorhombic
total magnetic moment = 0.00 μB per cell

The structure in POSCAR format:
```
LiTl2Pb
1.0
3.8172 0.0000 0.0000
0.0000 5.2110 0.0000
0.0000 0.0000 5.2436
Li Tl Pb
1 2 1
Cartesian
0.0000 0.0000 0.0000
0.0000 2.6055 2.6218
1.9086 2.6055 0.0000
1.9086 0.0000 2.6218
```

x:
First-principles (SCAN) data for LiTl2Pb at its PBEsol-relaxed geometry, as listed in the Alexandria database.

## Properties
crystal system = monoclinic
total magnetic moment = 0.00 μB per cell

The structure in POSCAR format:
```
LiTl2Pb
1.0
3.4562 0.0000 0.0000
0.0000 4.4726 0.0000
-0.0114 0.0000 6.6616
Li Tl Pb
1 2 1
Cartesian
0.0000 0.0000 0.0000
1.7228 2.2363 1.5705
1.7220 2.2363 5.0911
-0.0057 0.0000 3.3308
```

y:
First-principles (SCAN) data for LiTl2Pb at its PBEsol-relaxed geometry, as listed in the Alexandria database.

## Properties
crystal system = tetragonal
total magnetic moment = 0.00 μB per cell

The structure in POSCAR format:
```
LiTl2Pb
1.0
4.6332 0.0000 0.0000
0.0000 4.6332 0.0000
0.0000 0.0000 9.5847
Li Tl Pb
2 4 2
Cartesian
0.0000 0.0000 0.0000
2.3166 2.3166 4.7924
0.0000 2.3166 2.3962
0.0000 2.3166 7.1885
2.3166 0.0000 2.3962
2.3166 0.0000 7.1885
0.0000 0.0000 4.7924
2.3166 2.3166 0.0000
```

It is y that is most stable; the runner-up trails by 14 meV per atom.

w:
First-principles (SCAN) data for Li2TlPb at its PBEsol-relaxed geometry, as listed in the Alexandria database.

## Properties
crystal system = tetragonal
total magnetic moment = 0.00 μB per cell

The structure in POSCAR format:
```
Li2TlPb
1.0
7.6882 0.0000 0.0000
0.0000 7.6882 0.0000
0.0000 0.0000 6.3140
Li Tl Pb
8 4 4
Cartesian
1.8762 1.9221 0.7893
1.9221 5.7203 2.3678
1.9221 5.8120 5.5248
1.9679 1.9221 3.9463
5.7203 5.7662 3.9463
5.7662 1.8762 5.5248
5.7662 1.9679 2.3678
5.8120 5.7662 0.7893
0.0000 0.0000 0.0000
0.0000 3.8441 1.5785
3.8441 0.0000 4.7355
3.8441 3.8441 3.1570
0.0000 0.0000 3.1570
0.0000 3.8441 4.7355
3.8441 0.0000 1.5785
3.8441 3.8441 0.0000
```

x:
First-principles (SCAN) data for Li2TlPb at its PBEsol-relaxed geometry, as listed in the Alexandria database.

## Properties
crystal system = orthorhombic
total magnetic moment = 0.00 μB per cell

The structure in POSCAR format:
```
Li2TlPb
1.0
3.6947 0.0000 0.0000
0.0000 3.9616 0.0000
0.0000 0.0000 6.0043
Li Tl Pb
2 1 1
Cartesian
0.0000 0.0000 0.0000
1.8473 1.9808 1.6283
1.8473 1.9808 4.7573
0.0000 0.0000 2.9587
```

y:
First-principles (SCAN) data for Li2TlPb at its PBEsol-relaxed geometry, as listed in the Alexandria database.

## Properties
crystal system = trigonal
total magnetic moment = 0.00 μB per cell

The structure in POSCAR format:
```
Li2TlPb
1.0
3.3329 0.0000 0.0000
-1.6664 2.8863 0.0000
0.0000 0.0000 28.0146
Li Tl Pb
6 3 3
Cartesian
0.0000 0.0000 7.0015
0.0000 0.0000 21.0130
0.0000 1.9242 11.6749
0.0000 1.9242 25.6779
1.6664 0.9621 2.3367
1.6664 0.9621 16.3397
0.0000 0.0000 0.0000
0.0000 1.9242 18.6764
1.6664 0.9621 9.3382
0.0000 0.0000 14.0073
0.0000 1.9242 4.6691
1.6664 0.9621 23.3455
```

z:
First-principles (SCAN) data for Li2TlPb at its PBEsol-relaxed geometry, as listed in the Alexandria database.

## Properties
crystal system = tetragonal
total magnetic moment = 0.00 μB per cell

The structure in POSCAR format:
```
Li2TlPb
1.0
4.3548 0.0000 0.0000
0.0000 4.3548 0.0000
0.0000 0.0000 9.2620
Li Tl Pb
4 2 2
Cartesian
0.0000 0.0000 0.0000
0.0000 2.1774 2.3155
2.1774 0.0000 6.9465
2.1774 2.1774 4.6310
0.0000 2.1774 6.9465
2.1774 0.0000 2.3155
0.0000 0.0000 4.6310
2.1774 2.1774 0.0000
```

It is z that is most stable; the runner-up trails by 21 meV per atom.

w:
First-principles (SCAN) data for Li2TlPb at its PBEsol-relaxed geometry, as listed in the Alexandria database.

## Properties
crystal system = orthorhombic
total magnetic moment = 0.00 μB per cell

The structure in POSCAR format:
```
Li2TlPb
1.0
3.7236 0.0000 0.0000
0.0000 4.6472 0.0000
0.0000 0.0000 10.0494
Li Tl Pb
4 2 2
Cartesian
0.0000 0.0000 0.0000
0.0000 2.3236 2.5675
1.8618 0.0000 7.5921
1.8618 2.3236 5.0247
0.0000 0.0000 5.1666
1.8618 2.3236 0.1419
0.0000 2.3236 7.5648
1.8618 0.0000 2.5401
```

x:
First-principles (SCAN) data for Li2TlPb at its PBEsol-relaxed geometry, as listed in the Alexandria database.

## Properties
crystal system = tetragonal
total magnetic moment = 0.00 μB per cell

The structure in POSCAR format:
```
Li2TlPb
1.0
4.9862 0.0000 0.0000
0.0000 4.9862 0.0000
0.0000 0.0000 3.3557
Li Tl Pb
2 1 1
Cartesian
0.0000 2.4931 0.0000
2.4931 0.0000 0.0000
0.0000 0.0000 1.6779
2.4931 2.4931 1.6779
```

y:
First-principles (SCAN) data for Li2TlPb at its PBEsol-relaxed geometry, as listed in the Alexandria database.

## Properties
crystal system = orthorhombic
total magnetic moment = 0.00 μB per cell

The structure in POSCAR format:
```
Li2TlPb
1.0
3.3591 0.0000 0.0000
0.0000 3.6345 0.0000
0.0000 0.0000 6.8338
Li Tl Pb
2 1 1
Cartesian
0.0000 0.0000 1.6716
0.0000 0.0000 5.1622
1.6796 1.8172 0.0000
1.6796 1.8172 3.4169
```

z:
First-principles (SCAN) data for Li2TlPb at its PBEsol-relaxed geometry, as listed in the Alexandria database.

## Properties
crystal system = monoclinic
total magnetic moment = 0.00 μB per cell

The structure in POSCAR format:
```
Li2TlPb
1.0
10.5206 0.0000 0.0000
0.0000 3.4556 0.0000
-1.1296 0.0000 4.7590
Li Tl Pb
4 2 2
Cartesian
0.0000 0.0000 0.0000
2.2487 1.7278 1.5201
5.2603 1.7278 0.0000
7.5090 0.0000 1.5201
1.7726 0.0000 3.9832
7.0329 1.7278 3.9832
4.6207 0.0000 2.3434
9.8810 1.7278 2.3434
```

It is x that is most stable; the runner-up trails by 7 meV per atom.